A relaxed structure of SrCaYBiO6. Source: Alexandria, functional GGA-PBE.

The formation energy from raw total energies comes out at -2.3563 eV/atom. The polymorph energy (0 for the lowest one) is 69 meV per atom. The value obtained for the electronic total energy is -67.34 eV/f.u. The spin magnetization comes out at 0.0 μB per cell.

Cell lengths 5.919, 5.919, 8.613 Å; angles 90.00, 90.00, 90.00 degrees
Fractional positions:
Sr (0.000, 0.500, 0.250)
Sr (0.500, 0.000, 0.750)
Ca (0.000, 0.500, 0.750)
Ca (0.500, 0.000, 0.250)
Y (0.000, 0.000, 0.000)
Y (0.500, 0.500, 0.500)
Bi (0.000, 0.000, 0.500)
Bi (0.500, 0.500, 0.000)
O (0.000, 0.000, 0.255)
O (0.000, 0.000, 0.745)
O (0.165, 0.319, 0.512)
O (0.181, 0.335, 0.988)
O (0.319, 0.835, 0.488)
O (0.335, 0.819, 0.012)
O (0.500, 0.500, 0.245)
O (0.500, 0.500, 0.755)
O (0.665, 0.181, 0.012)
O (0.681, 0.165, 0.488)
O (0.819, 0.665, 0.988)
O (0.835, 0.681, 0.512)

***

A relaxed structure of SrCaYBiO6. Source: Alexandria, functional GGA-PBE.

The formation energy from raw total energies comes out at -2.2532 eV/atom. The polymorph energy (0 for the lowest one) is 172 meV per atom. The value obtained for the electronic total energy is -66.31 eV/f.u. The spin magnetization comes out at 0.0 μB per cell.

Cell lengths 6.058, 6.058, 6.058 Å; angles 60.00, 60.00, 60.00 degrees
Fractional positions:
Sr (0.000, 0.000, 0.000)
Ca (0.500, 0.500, 0.500)
Y (0.750, 0.750, 0.750)
Bi (0.250, 0.250, 0.250)
O (0.006, 0.006, 0.494)
O (0.006, 0.494, 0.006)
O (0.006, 0.494, 0.494)
O (0.494, 0.006, 0.006)
O (0.494, 0.006, 0.494)
O (0.494, 0.494, 0.006)

***

A relaxed structure of SrCaYBiO6. Source: Alexandria, functional GGA-PBE.

The formation energy from raw total energies comes out at -2.4257 eV/atom. The polymorph energy (0 for the lowest one) is 0 meV per atom. The value obtained for the electronic total energy is -68.03 eV/f.u. The spin magnetization comes out at 0.0 μB per cell.

Cell lengths 5.855, 6.037, 8.413 Å; angles 90.02, 90.10, 90.15 degrees
Fractional positions:
Sr (0.011, 0.449, 0.251)
Sr (0.989, 0.551, 0.749)
Ca (0.485, 0.952, 0.249)
Ca (0.515, 0.048, 0.751)
Y (0.000, 0.000, 0.500)
Y (0.500, 0.500, 0.000)
Bi (0.000, 0.000, 0.000)
Bi (0.500, 0.500, 0.500)
O (0.120, 0.967, 0.758)
O (0.192, 0.709, 0.055)
O (0.204, 0.694, 0.453)
O (0.295, 0.192, 0.063)
O (0.314, 0.204, 0.435)
O (0.402, 0.439, 0.742)
O (0.598, 0.561, 0.258)
O (0.686, 0.796, 0.565)
O (0.705, 0.808, 0.937)
O (0.796, 0.306, 0.547)
O (0.808, 0.291, 0.945)
O (0.880, 0.033, 0.242)